No. 1
Here is a geometry-optimized Hf2Nb2Al structure from the Open Quantum Materials Database. Energies are from PBE.

Summary:
Symmetry = I4/mmm, No. 139

Unit cell a=3.847 b=3.847 c=7.682 alpha=104.50 beta=104.50 gamma=90.00
Element x y z (fractional)
Al  0.000  0.000  0.000
Hf  0.595  0.595  0.190
Hf  0.405  0.405  0.810
Nb  0.750  0.250  0.500
Nb  0.250  0.750  0.500


No. 2
Here is a geometry-optimized Lu4GaNiC2 structure from the Open Quantum Materials Database. Energies are from PBE.

Summary:
Symmetry = P-6m2, No. 187

Unit cell a=3.491 b=3.491 c=14.133 alpha=90.00 beta=90.00 gamma=120.00
Last column: magnetic moment on the atom in μB.
Element x y z (fractional)
C  0.000  0.000  0.234  0.00
C  0.000  0.000  0.766  0.00
Ga  0.333  0.667  0.500  -0.03
Lu  0.333  0.667  0.140  -0.01
Lu  0.667  0.333  0.326  -0.03
Lu  0.667  0.333  0.674  -0.03
Lu  0.333  0.667  0.860  -0.01
Ni  0.667  0.333  0.000  0.12


No. 3
Here is a geometry-optimized ZrAlPt2 structure from the Open Quantum Materials Database. Energies are from PBE.

Summary:
Symmetry = F-43m, No. 216

Unit cell a=4.567 b=4.567 c=4.567 alpha=60.00 beta=60.00 gamma=60.00
Element x y z (fractional)
Al  0.500  0.500  0.500
Pt  0.000  0.000  0.000
Pt  0.750  0.750  0.750
Zr  0.250  0.250  0.250


No. 4
Here is a geometry-optimized RbNpPa structure from the Open Quantum Materials Database. Energies are from PBE.

Summary:
Symmetry = F-43m, No. 216

Unit cell a=5.259 b=5.259 c=5.259 alpha=60.00 beta=60.00 gamma=60.00
Last column: magnetic moment on the atom in μB.
Element x y z (fractional)
Np  0.500  0.500  0.500  4.42
Pa  0.750  0.750  0.750  1.80
Rb  0.000  0.000  0.000  0.06


No. 5
Here is a geometry-optimized LiTlNiW structure from the Open Quantum Materials Database. Energies are from PBE.

Summary:
Symmetry = F-43m, No. 216

Unit cell a=4.394 b=4.394 c=4.394 alpha=60.00 beta=60.00 gamma=60.00
Element x y z (fractional)
Li  0.250  0.250  0.250
Ni  0.750  0.750  0.750
Tl  0.000  0.000  0.000
W  0.500  0.500  0.500


No. 6
Here is a geometry-optimized Hf2ZrAl3Cu2Ni structure from the Open Quantum Materials Database. Energies are from PBE.

Summary:
Symmetry = Amm2, No. 38

Unit cell a=3.972 b=6.509 c=6.509 alpha=120.45 beta=90.00 gamma=90.00
Element x y z (fractional)
Al  0.500  0.244  0.001
Al  0.500  0.001  0.244
Al  0.500  0.755  0.755
Cu  0.500  0.671  0.333
Cu  0.500  0.333  0.671
Hf  0.000  0.590  0.000
Hf  0.000  0.000  0.590
Ni  0.000  0.994  0.994
Zr  0.000  0.412  0.412


For reference, uncorrected energy by record: -41.33 -47.96 -27.26 -16.96 -20.49 -57.26 eV/f.u..